Computed, not measured: crystalline MgFe2Sn2 at its relaxed geometry at the PBE level of DFT.

## Properties
Uncorrected energy (eV per atom): -5.127
Density (g/cm³): 7.6
Spin magnetization (μB/cell): 1.71
ΔE to the lowest computed polymorph (eV/atom): 0.000
Space-group type: No. 127

Cell and atoms, written as POSCAR:
```
MgFe2Sn2
1.0
7.1910 0.0000 0.0000
0.0000 7.1910 0.0000
0.0000 0.0000 3.1365
Mg Fe Sn
2 4 4
Direct
0.0000 0.0000 0.0000
0.5000 0.5000 0.0000
0.1366 0.3634 0.0000
0.3634 0.8634 0.0000
0.6366 0.1366 0.0000
0.8634 0.6366 0.0000
0.1598 0.6598 0.5000
0.3402 0.1598 0.5000
0.6598 0.8402 0.5000
0.8402 0.3402 0.5000
```

=====

Computed, not measured: crystalline TiRuS2 at its relaxed geometry at the PBE level of DFT.

## Properties
Uncorrected energy (eV per atom): -6.891
E_form (uncorrected) (kJ/mol of atoms): -51.6
Density (g/cm³): 5.5
Spin magnetization (μB/cell): 0.00
ΔE to the lowest computed polymorph (eV/atom): 0.048
Space-group type: No. 166

Cell and atoms, written as POSCAR:
```
TiRuS2
1.0
1.5533 0.8968 7.7179
-1.5533 0.8968 7.7179
0.0000 -1.7936 7.7179
Ti Ru S
1 1 2
Direct
0.0000 0.0000 0.0000
0.5000 0.5000 0.5000
0.4024 0.4024 0.4024
0.5976 0.5976 0.5976
```

=====

Computed, not measured: crystalline Rb2TaZnBr6 at its relaxed geometry at the PBE level of DFT.

## Properties
Uncorrected energy (eV per atom): -3.504
E_form (uncorrected) (kJ/mol of atoms): -95.9
Density (g/cm³): 3.8
Spin magnetization (μB/cell): 1.00
Space-group type: No. 225

Cell and atoms, written as POSCAR:
```
Rb2TaZnBr6
1.0
0.0000 5.8012 5.8012
5.8012 0.0000 5.8012
5.8012 5.8012 0.0000
Rb Ta Zn Br
2 1 1 6
Direct
0.2500 0.2500 0.2500
0.7500 0.7500 0.7500
0.0000 0.0000 0.0000
0.5000 0.5000 0.5000
0.2233 0.2233 0.7767
0.2233 0.7767 0.2233
0.2233 0.7767 0.7767
0.7767 0.2233 0.2233
0.7767 0.2233 0.7767
0.7767 0.7767 0.2233
```

=====

Question: Which formula does entry 2 have?
Answer: TiRuS2